[1]
Computed, not measured: a relaxed structure of MgSc3Ir at the PBE-GGA level of DFT.

Energy of formation, meV per atom: -214
Final energy, eV/cell: -30.5
Total magnetization, μB per cell: 0.0
Energy above the most stable polymorph in this dataset, eV/f.u.: 0.000
Space group: No. 221

Cell lengths 5.0800, 5.0800, 5.0800 Å; angles 90.00, 90.00, 90.00 degrees
Last column: nearest neighbours and their distance in Å.
Fractional positions:
Sc 0.5000 0.0000 0.0000  2 Ir 2.54
Mg 0.5000 0.5000 0.5000  12 Sc 3.59
Ir 0.0000 0.0000 0.0000  6 Sc 2.54
Sc 0.0000 0.5000 0.0000  2 Ir 2.54
Sc 0.0000 0.0000 0.5000  2 Ir 2.54


[2]
Computed, not measured: a relaxed structure of Mg2Sc2Ir3 at the PBE-GGA level of DFT.

Energy of formation, meV per atom: -616
Final energy, eV/cell: -46.7
Total magnetization, μB per cell: 0.0
Space group: No. 2

Cell lengths 4.5392, 4.5377, 7.6113 Å; angles 90.07, 107.27, 119.98 degrees
Last column: nearest neighbours and their distance in Å.
Fractional positions:
Ir 0.4900 0.7457 0.2340  4 Mg 2.69-2.85, 4 Sc 2.70-2.71
Sc 0.7630 0.3821 0.1445  7 Ir 2.70-2.82
Mg 0.2600 0.1306 0.3896  5 Ir 2.69-2.85
Sc 0.2370 0.6179 0.8555  7 Ir 2.70-2.82
Mg 0.7400 0.8694 0.6104  5 Ir 2.69-2.85
Ir 0.5100 0.2543 0.7660  4 Mg 2.69-2.85, 4 Sc 2.70-2.71
Ir 0.0000 0.0000 0.0000  2 Mg 2.78, 6 Sc 2.82, 6 Ir 3.11


[3]
Computed, not measured: a relaxed structure of MgScIr3 at the PBE-GGA level of DFT.

Energy of formation, meV per atom: 760
Final energy, eV/cell: -30.7
Total magnetization, μB per cell: 0.0
Energy above the most stable polymorph in this dataset, eV/f.u.: 0.000
Space group: No. 221

Cell lengths 4.4943, 4.4943, 4.4943 Å; angles 90.00, 90.00, 90.00 degrees
Last column: nearest neighbours and their distance in Å.
Fractional positions:
Ir 0.5000 0.0000 0.0000  2 Mg 2.25
Ir 0.0000 0.5000 0.0000  2 Mg 2.25
Sc 0.5000 0.5000 0.5000  12 Ir 3.18
Ir 0.0000 0.0000 0.5000  2 Mg 2.25
Mg 0.0000 0.0000 0.0000  6 Ir 2.25


[4]
Computed, not measured: a relaxed structure of Mg2ScIr2 at the PBE-GGA level of DFT.

Energy of formation, meV per atom: -426
Final energy, eV/cell: -58.7
Total magnetization, μB per cell: 0.0
Energy above the most stable polymorph in this dataset, eV/f.u.: 0.599
Space group: No. 127

Cell lengths 7.3982, 7.3982, 3.1468 Å; angles 90.00, 90.00, 90.00 degrees
Last column: nearest neighbours and their distance in Å.
Fractional positions:
Mg 0.6386 0.8614 0.5000  6 Ir 2.63-2.71, 1 Mg 2.90
Ir 0.1596 0.3404 0.0000  6 Mg 2.63-2.71, 2 Sc 2.78
Mg 0.8614 0.3614 0.5000  6 Ir 2.63-2.71, 1 Mg 2.90
Ir 0.6596 0.1596 0.0000  6 Mg 2.63-2.71, 2 Sc 2.78
Mg 0.1386 0.6386 0.5000  6 Ir 2.63-2.71, 1 Mg 2.90
Ir 0.3404 0.8404 0.0000  6 Mg 2.63-2.71, 2 Sc 2.78
Sc 0.5000 0.5000 0.0000  4 Ir 2.78
Sc 0.0000 0.0000 0.0000  4 Ir 2.78
Mg 0.3614 0.1386 0.5000  6 Ir 2.63-2.71, 1 Mg 2.90
Ir 0.8404 0.6596 0.0000  6 Mg 2.63-2.71, 2 Sc 2.78